Compound: Ce2AgHg5
Source: Alexandria via LeMat-Bulk
Functional: GGA-PBE
Structure: relaxed

Cell lengths 3.456, 11.904, 10.098 Å; angles 90.00, 90.00, 98.35 degrees
Each line ends with the local moment (μB).
Positions (direct):
Ce 0.819 0.638 0.750  0.98
Ce 0.181 0.362 0.250  0.98
Ce 0.000 0.000 0.000  0.93
Ce 0.000 0.000 0.500  0.93
Ag 0.440 0.881 0.750  0.01
Ag 0.560 0.119 0.250  0.01
Hg 0.215 0.429 0.897  0.00
Hg 0.785 0.571 0.103  0.00
Hg 0.215 0.429 0.603  0.00
Hg 0.785 0.571 0.397  0.00
Hg 0.379 0.758 0.995  0.00
Hg 0.621 0.242 0.005  0.00
Hg 0.379 0.758 0.505  0.00
Hg 0.621 0.242 0.495  0.00
Hg 0.562 0.125 0.750  0.00
Hg 0.438 0.875 0.250  0.00

Output
V, Å³ per cell: 411.06
Theoretical density, g/cm³: 11.24
E_tot, eV per atom: -2.23

***

Compound: Ce4AgHg
Source: Alexandria via LeMat-Bulk
Functional: GGA-PBE
Structure: relaxed

Cell lengths 5.462, 6.266, 9.138 Å; angles 69.95, 90.44, 91.29 degrees
Positions (direct):
Ce 0.847 0.285 0.430
Ce 0.768 0.091 0.763
Ce 0.347 0.215 0.570
Ce 0.268 0.354 0.237
Ce 0.153 0.715 0.570
Ce 0.653 0.785 0.430
Ce 0.232 0.909 0.237
Ce 0.732 0.646 0.763
Ag 0.250 0.795 0.911
Ag 0.750 0.205 0.089
Hg 0.250 0.301 0.898
Hg 0.750 0.699 0.102

Output
V, Å³ per cell: 293.73
Theoretical density, g/cm³: 9.82
E_tot, eV per atom: -4.54

***

Repeat the second record exactly.
Compound: Ce4AgHg
Source: Alexandria via LeMat-Bulk
Functional: GGA-PBE
Structure: relaxed

Cell lengths 5.462, 6.266, 9.138 Å; angles 69.95, 90.44, 91.29 degrees
Positions (direct):
Ce 0.847 0.285 0.430
Ce 0.768 0.091 0.763
Ce 0.347 0.215 0.570
Ce 0.268 0.354 0.237
Ce 0.153 0.715 0.570
Ce 0.653 0.785 0.430
Ce 0.232 0.909 0.237
Ce 0.732 0.646 0.763
Ag 0.250 0.795 0.911
Ag 0.750 0.205 0.089
Hg 0.250 0.301 0.898
Hg 0.750 0.699 0.102

Output
V, Å³ per cell: 293.73
Theoretical density, g/cm³: 9.82
E_tot, eV per atom: -4.54

***

Question: Which value of V does entry 2 give?
Answer: 293.73 Å³ per cell

***

Question: What is the theoretical density in the second record?
Answer: 9.82 g/cm³